TlTeRu2 | PBEsol | optimized geometry

Values from the calculation:
energy above the most stable polymorph in this dataset = 0.083 eV per atom

Cell and atoms, written as POSCAR:
```
TlTeRu2
1.0
4.591 0.000 0.000
2.296 3.976 0.000
2.296 1.325 3.749
Ru Tl Te
2 1 1
direct
0.250 0.250 0.250
0.750 0.750 0.750
0.500 0.500 0.500
0.000 0.000 0.000
```

Ta3W | PBEsol | optimized geometry

Values from the calculation:
energy of formation = -36 meV per atom

Cell and atoms, written as POSCAR:
```
Ta3W
1.0
6.477 0.000 0.000
-0.006 6.486 -0.002
-0.006 0.026 6.486
Ta W
12 4
direct
0.748 0.248 0.248
0.002 0.503 0.997
0.252 0.248 0.752
0.748 0.752 0.248
0.498 0.502 0.997
0.252 0.248 0.248
0.498 0.997 0.502
0.002 0.997 0.503
0.748 0.248 0.752
0.252 0.752 0.248
0.002 0.502 0.502
0.748 0.752 0.752
0.498 0.999 0.999
0.252 0.751 0.751
0.498 0.501 0.501
0.001 0.999 0.999
```

InCu2Br | PBEsol | optimized geometry

Values from the calculation:
energy above the most stable polymorph in this dataset = 0.000 eV per atom

Cell and atoms, written as POSCAR:
```
InCu2Br
1.0
3.384 0.000 0.000
1.692 2.931 0.000
1.692 0.977 7.275
Cu Br In
2 1 1
direct
0.252 0.252 0.243
0.748 0.748 0.757
0.000 0.000 0.000
0.500 0.500 0.500
```

AsIr2W | PBEsol | optimized geometry

Values from the calculation:
energy of formation = 255 meV per atom

Cell and atoms, written as POSCAR:
```
AsIr2W
1.0
-3.475 0.067 2.658
-4.021 -0.523 -1.643
-2.223 -3.685 0.788
Ir As W
2 1 1
direct
0.000 0.000 0.000
0.250 0.250 0.250
0.500 0.500 0.500
0.750 0.750 0.750
```

NaCu5Se2Cl3O8 | PBEsol | optimized geometry

Values from the calculation:
total DFT energy (no corrections) = -370.93 eV for the cell shown

Cell and atoms, written as POSCAR:
```
NaCu5Se2Cl3O8
1.0
-2.453 5.266 2.707
-1.750 -5.316 8.758
15.906 4.401 5.850
O Cl Cu Se Na
32 12 20 8 4
direct
0.750 0.598 0.776
0.750 0.958 0.795
0.455 0.471 0.372
0.955 0.971 0.128
0.250 0.954 0.992
0.045 0.471 0.372
0.455 0.029 0.872
0.955 0.529 0.628
0.750 0.046 0.008
0.750 0.715 0.167
0.951 0.013 0.649
0.250 0.402 0.224
0.045 0.029 0.872
0.250 0.546 0.492
0.951 0.487 0.149
0.451 0.513 0.851
0.250 0.458 0.705
0.549 0.013 0.649
0.750 0.454 0.508
0.250 0.098 0.724
0.545 0.971 0.128
0.049 0.513 0.851
0.549 0.487 0.149
0.250 0.042 0.205
0.250 0.285 0.833
0.250 0.215 0.333
0.750 0.902 0.276
0.451 0.987 0.351
0.049 0.987 0.351
0.750 0.542 0.295
0.545 0.529 0.628
0.750 0.785 0.667
0.750 0.123 0.473
0.750 0.757 0.911
0.750 0.377 0.973
0.250 0.257 0.589
0.250 0.243 0.089
0.750 0.236 0.251
0.750 0.264 0.751
0.250 0.736 0.249
0.250 0.764 0.749
0.250 0.623 0.027
0.250 0.877 0.527
0.750 0.743 0.411
0.750 0.721 0.278
0.250 0.221 0.222
0.750 0.504 0.874
0.505 0.037 0.760
0.250 0.004 0.626
0.495 0.963 0.240
0.995 0.463 0.260
0.250 0.998 0.098
0.250 0.496 0.126
0.250 0.279 0.722
0.750 0.996 0.374
0.495 0.537 0.740
0.995 0.037 0.760
0.750 0.002 0.902
0.250 0.502 0.598
0.005 0.963 0.240
0.005 0.537 0.740
0.505 0.463 0.260
0.750 0.779 0.778
0.750 0.498 0.402
0.750 0.917 0.070
0.250 0.083 0.930
0.750 0.583 0.570
0.250 0.082 0.390
0.750 0.918 0.610
0.750 0.582 0.110
0.250 0.418 0.890
0.250 0.417 0.430
0.750 0.227 0.099
0.250 0.773 0.901
0.250 0.727 0.401
0.750 0.273 0.599
```

Mg3Cd2 | PBEsol | optimized geometry

Values from the calculation:
energy of formation = -59 meV per atom
energy above the most stable polymorph in this dataset = 0.000 eV per atom

Cell and atoms, written as POSCAR:
```
Mg3Cd2
1.0
4.784 0.000 0.000
-2.392 4.143 0.000
0.000 0.000 5.733
Mg Cd
3 2
direct
0.667 0.333 0.643
0.333 0.667 0.357
0.000 0.000 0.000
0.333 0.667 0.852
0.667 0.333 0.148
```

HfAlTc2Pd | PBEsol | optimized geometry

Values from the calculation:
energy of formation = 1183 meV per atom

Cell and atoms, written as POSCAR:
```
HfAlTc2Pd
1.0
-2.573 3.505 -0.176
-1.369 -1.203 -3.951
-3.549 -2.505 1.992
Pd Tc Al Hf
1 2 1 1
direct
0.500 0.500 0.500
0.500 0.000 0.000
0.000 0.500 0.000
0.000 0.000 0.000
0.000 0.000 0.500
```

CdCoN3 | PBEsol | optimized geometry

Values from the calculation:
total DFT energy (no corrections) = -20.67 eV for the cell shown

Cell and atoms, written as POSCAR:
```
CdCoN3
1.0
-0.327 1.738 -3.705
0.984 -3.574 -1.764
-3.972 -1.028 -0.132
N Cd Co
3 1 1
direct
0.500 0.000 0.000
0.000 0.000 0.500
0.000 0.500 0.000
0.000 0.000 0.000
0.500 0.500 0.500
```

Zr4CuS8 | PBEsol | optimized geometry

Values from the calculation:
total DFT energy (no corrections) = -94.88 eV for the cell shown

Cell and atoms, written as POSCAR:
```
Zr4CuS8
1.0
7.267 0.000 0.000
3.634 6.293 0.000
3.634 2.098 5.933
S Zr Cu
8 4 1
direct
0.124 0.629 0.124
0.626 0.626 0.626
0.124 0.124 0.629
0.122 0.626 0.626
0.124 0.124 0.124
0.626 0.122 0.626
0.626 0.626 0.122
0.629 0.124 0.124
0.873 0.873 0.873
0.382 0.873 0.873
0.873 0.873 0.382
0.873 0.382 0.873
0.250 0.250 0.250
```

Sc2MnCo | PBEsol | optimized geometry

Values from the calculation:
energy of formation = -65 meV per atom

Cell and atoms, written as POSCAR:
```
Sc2MnCo
1.0
3.074 0.000 0.000
0.000 4.431 0.000
0.000 0.000 4.431
Sc Mn Co
2 1 1
direct
0.000 0.000 0.500
0.000 0.500 0.000
0.500 0.000 0.000
0.500 0.500 0.500
```

NaPdSe3 | PBEsol | optimized geometry

Values from the calculation:
total DFT energy (no corrections) = -13.95 eV for the cell shown

Cell and atoms, written as POSCAR:
```
NaPdSe3
1.0
-4.577 -1.262 1.215
1.580 -1.505 4.388
-0.757 4.490 1.813
Se Na Pd
3 1 1
direct
0.000 0.000 0.500
0.000 0.500 0.000
0.500 0.000 0.000
0.000 0.000 0.000
0.500 0.500 0.500
```

CuBiAsSe2 | PBEsol | optimized geometry

Values from the calculation:
total DFT energy (no corrections) = -15.60 eV for the cell shown

Cell and atoms, written as POSCAR:
```
CuBiAsSe2
1.0
5.361 0.000 0.000
0.000 5.418 0.000
0.000 0.000 5.418
Se Bi As Cu
2 1 1 1
direct
0.000 0.500 0.000
0.000 0.000 0.500
0.000 0.000 0.000
0.500 0.000 0.000
0.500 0.500 0.500
```

Magnetization readings, ordered: 0.32; 0.00; 0.00; 0.00; 4.05; 0.00; 0.00; 5.99; 0.00; 1.85; 0.01; 1.04 μB/cell